# 1
Computed, not measured: YZnSn2 after structural relaxation at the GGA-PBE level of DFT.

a b c (Å): 5.2298 5.2298 5.2298
angles (deg): 60.00 60.00 60.00
Positions (direct):
Y1 0.0000 0.0000 0.0000
Zn1 0.2500 0.2500 0.2500
Sn1 0.5000 0.5000 0.5000
Sn2 0.7500 0.7500 0.7500

## Properties
symmetry	F-43m

# 2
Computed, not measured: YZrSn2 after structural relaxation at the GGA-PBE level of DFT.

a b c (Å): 5.2253 5.2253 5.2253
angles (deg): 60.00 60.00 60.00
Positions (direct):
Y1 0.0000 0.0000 0.0000
Zr1 0.2500 0.2500 0.2500
Sn1 0.5000 0.5000 0.5000
Sn2 0.7500 0.7500 0.7500

## Properties
symmetry	F-43m

| no. | raw total energy (eV/cell) |
| --- | --- |
| 1 | -16.308 |
| 2 | -22.931 |